Density functional theory data (PBE-GGA) for an optimized crystal structure of TiTlInO4.

final energy: -6.56 eV/atom
energy relative to the elements, uncorrected: -1.87 eV per atom
space-group type: P2_1/m (11)

Cell lengths 5.8780, 5.9403, 7.5218 Å; angles 90.00, 107.23, 90.00 degrees
With the nearest neighbours (Å) after each atom.
Fractional positions:
Ti: 0.3005 0.7500 0.3644  4 O 1.75-1.89
Ti: 0.6995 0.2500 0.6356  4 O 1.75-1.89
Tl: 0.7170 0.7500 0.9302  1 O 2.49
Tl: 0.2830 0.2500 0.0698  1 O 2.49
In: 0.8322 0.7500 0.4565  5 O 2.16-2.31
In: 0.1678 0.2500 0.5435  5 O 2.16-2.31
O: 0.9275 0.4806 0.6585  1 Ti 1.89
O: 0.0725 0.9806 0.3415  1 Ti 1.89
O: 0.0725 0.5194 0.3415  1 Ti 1.89
O: 0.9275 0.0194 0.6585  1 Ti 1.89
O: 0.5126 0.7500 0.2237  1 Ti 1.86
O: 0.4874 0.2500 0.7763  1 Ti 1.86
O: 0.4934 0.7500 0.5927  1 Ti 1.75
O: 0.5066 0.2500 0.4073  1 Ti 1.75